Density functional theory data (PBE) for a relaxed Cs9Au3BrO2 crystal.

The structure in CIF format:
```
data_Cs9Au3BrO2
_chemical_formula_sum 'Cs9 Au3 Br1 O2'
_cell_length_a 8.3677
_cell_length_b 8.3677
_cell_length_c 12.2007
_cell_angle_alpha 90.00
_cell_angle_beta 90.00
_cell_angle_gamma 120.00
_space_group_name_H-M_alt 'P -3 m 1'
_space_group_IT_number 164
_space_group_name_Hall '-P 3 2"'
loop_
_atom_site_label
_atom_site_type_symbol
_atom_site_fract_x
_atom_site_fract_y
_atom_site_fract_z
Cs1 Cs 0.0000 0.5000 0.0000
Cs2 Cs 0.1676 0.3351 0.2721
Au1 Au 0.0000 0.0000 0.0000
Au2 Au 0.3333 0.6667 0.7605
Br1 Br 0.0000 0.0000 0.5000
O1 O 0.3333 0.6667 0.1646
```

Results
**DOS(E_F)**: 4.45 states/eV per cell
**Energy relative to the elements, uncorrected**: -0.7408 eV per atom
**Magnetization**: 0.0 μB/cell
**DFT total energy**: -2.68 eV/atom

Density functional theory data (PBE) for a relaxed LiDy2Cu3Ge4 crystal.

The structure in CIF format:
```
data_LiDy2Cu3Ge4
_chemical_formula_sum 'Li1 Dy2 Cu3 Ge4'
_cell_length_a 4.0952
_cell_length_b 4.0952
_cell_length_c 10.3169
_cell_angle_alpha 90.00
_cell_angle_beta 90.00
_cell_angle_gamma 90.00
_space_group_name_H-M_alt 'P -4 m 2'
_space_group_IT_number 115
loop_
_space_group_symop_operation_xyz
'x,y,z'
'y,-x,-z'
'-x,-y,z'
'-y,x,-z'
'-x,y,z'
'-y,-x,-z'
'x,-y,z'
'y,x,-z'
loop_
_atom_site_label
_atom_site_type_symbol
_atom_site_fract_x
_atom_site_fract_y
_atom_site_fract_z
Li1 Li 0.0000 0.0000 0.0000
Dy1 Dy 0.0000 0.5000 0.7533
Cu1 Cu 0.0000 0.5000 0.3645
Cu2 Cu 0.5000 0.5000 0.0000
Ge1 Ge 0.0000 0.0000 0.5000
Ge2 Ge 0.0000 0.5000 0.1353
Ge3 Ge 0.5000 0.5000 0.5000
```

Results
**E_form**: -0.48 eV per atom
**DOS(E_F)**: 2.50 states/eV per cell
**Magnetization**: 0.0 μB/cell
**DFT total energy**: -4.67 eV/atom

Density functional theory data (PBE) for a relaxed La2ScZnS5 crystal.

The structure in CIF format:
```
data_La2ScZnS5
_chemical_formula_sum 'La8 Sc4 Zn4 S20'
_cell_length_a 3.8929
_cell_length_b 16.8803
_cell_length_c 11.8444
_cell_angle_alpha 90.00
_cell_angle_beta 90.00
_cell_angle_gamma 90.00
_space_group_name_H-M_alt 'C m c 21'
_space_group_IT_number 36
loop_
_space_group_symop_operation_xyz
'x,y,z'
'-x,-y,z+1/2'
'-x,y,z'
'x,-y,z+1/2'
'x+1/2,y+1/2,z'
'-x+1/2,-y+1/2,z+1/2'
'-x+1/2,y+1/2,z'
'x+1/2,-y+1/2,z+1/2'
loop_
_atom_site_label
_atom_site_type_symbol
_atom_site_fract_x
_atom_site_fract_y
_atom_site_fract_z
La1 La 0.0000 0.1174 0.0000
La2 La 0.0000 0.1327 0.6237
Sc1 Sc 0.0000 0.2014 0.3270
Zn1 Zn 0.0000 0.4479 0.7617
S1 S 0.0000 0.0485 0.3662
S2 S 0.0000 0.2906 0.9751
S3 S 0.0000 0.3110 0.6756
S4 S 0.0000 0.3536 0.3158
S5 S 0.0000 0.4962 0.0861
```

Results
**DOS(E_F)**: 6.74 states/eV per cell
**Energy relative to the elements, uncorrected**: -1.8145 eV per atom
**Magnetization**: 0.0 μB/cell
**DFT total energy**: -6.05 eV/atom

Density functional theory data (PBE) for a relaxed KEu3Ag crystal.

The structure in CIF format:
```
data_KEu3Ag
_chemical_formula_sum 'K1 Eu3 Ag1'
_cell_length_a 6.1765
_cell_length_b 6.1765
_cell_length_c 6.1765
_cell_angle_alpha 90.00
_cell_angle_beta 90.00
_cell_angle_gamma 90.00
_space_group_name_H-M_alt 'P m -3 m'
_space_group_IT_number 221
_space_group_name_Hall '-P 4 2 3'
loop_
_atom_site_label
_atom_site_type_symbol
_atom_site_fract_x
_atom_site_fract_y
_atom_site_fract_z
K1 K 0.0000 0.0000 0.0000
Eu1 Eu 0.0000 0.5000 0.5000
Ag1 Ag 0.5000 0.5000 0.5000
```

Results
**E_form**: 0.03 eV per atom
**DOS(E_F)**: 36.65 states/eV per cell
**Magnetization**: 22.1 μB/cell
**DFT total energy**: -6.93 eV/atom

Density functional theory data (PBE) for a relaxed Pm12TePb6 crystal.

The structure in CIF format:
```
data_Pm12TePb6
_chemical_formula_sum 'Pm36 Te3 Pb18'
_cell_length_a 13.7757
_cell_length_b 13.7757
_cell_length_c 12.7919
_cell_angle_alpha 90.00
_cell_angle_beta 90.00
_cell_angle_gamma 120.00
_space_group_name_H-M_alt 'R -3'
_space_group_IT_number 148
_space_group_name_Hall '-R 3'
loop_
_atom_site_label
_atom_site_type_symbol
_atom_site_fract_x
_atom_site_fract_y
_atom_site_fract_z
Pm1 Pm 0.0315 0.1974 0.3891
Pm2 Pm 0.0533 0.2080 0.8755
Te1 Te 0.0000 0.0000 0.0000
Pb1 Pb 0.0469 0.2779 0.6438
```

Results
**DOS(E_F)**: 63.90 states/eV per cell
**Energy relative to the elements, uncorrected**: -0.3276 eV per atom
**Magnetization**: 0.0 μB/cell
**DFT total energy**: -4.66 eV/atom